No. 1
Crystalline PuThAgSn at its relaxed geometry. Source: Alexandria via LeMat-Bulk, functional PBE-GGA.

Values from the calculation:
The value obtained for the energy relative to the elements is -0.190 eV/atom. Its space-group type is No. 216.

Cell: 5.3526 5.3526 5.3526 Å, 60.00 60.00 60.00°
Positions (direct):
Pu (0.0000, 0.0000, 0.0000)
Th (0.5000, 0.5000, 0.5000)
Ag (0.2500, 0.2500, 0.2500)
Sn (0.7500, 0.7500, 0.7500)

No. 2
Crystalline SrMn2BiSb at its relaxed geometry. Source: Alexandria via LeMat-Bulk, functional PBE-GGA.

Values from the calculation:
The energy comes out at -4.4094 eV per atom. Its space-group type is No. 123.

Cell: 4.9545 4.9545 6.1239 Å, 90.00 90.00 90.00°
Positions (direct):
Sr (0.0000, 0.0000, 0.0000)
Mn (0.0000, 0.5000, 0.5000)
Mn (0.5000, 0.0000, 0.5000)
Bi (0.5000, 0.5000, 0.5000)
Sb (0.5000, 0.5000, 0.0000)

No. 3
Crystalline Ho3NbPt12 at its relaxed geometry. Source: Alexandria via LeMat-Bulk, functional PBE-GGA.

Values from the calculation:
The value obtained for the energy relative to the elements is -0.968 eV/atom. Its space-group type is No. 123.

Cell: 4.0791 4.0791 16.3675 Å, 90.00 90.00 90.00°
Positions (direct):
Ho (0.0000, 0.0000, 0.0000)
Ho (0.0000, 0.0000, 0.2505)
Ho (0.0000, 0.0000, 0.7495)
Nb (0.0000, 0.0000, 0.5000)
Pt (0.0000, 0.5000, 0.1268)
Pt (0.0000, 0.5000, 0.3837)
Pt (0.0000, 0.5000, 0.6163)
Pt (0.0000, 0.5000, 0.8732)
Pt (0.5000, 0.0000, 0.1268)
Pt (0.5000, 0.0000, 0.3837)
Pt (0.5000, 0.0000, 0.6163)
Pt (0.5000, 0.0000, 0.8732)
Pt (0.5000, 0.5000, 0.0000)
Pt (0.5000, 0.5000, 0.2555)
Pt (0.5000, 0.5000, 0.5000)
Pt (0.5000, 0.5000, 0.7445)

| no. | total moment (μB per formula unit) |
| --- | --- |
| 1 | 7.0 |
| 2 | 0.4 |
| 3 | 0.0 |